This record from the Alexandria database describes a relaxed CdMo2Se crystal. The functional is GGA-PBE.

Properties
* distance to the lowest polymorph of the same formula: 0.486 eV per atom
* formation energy without anion corrections: 0.632 eV per atom

Unit cell a=3.978 b=3.978 c=19.485 alpha=90.00 beta=90.00 gamma=90.00
Space group I-42d (No. 122)
Unique sites:
Cd  0.000  0.000  0.000 [4 per cell]
Mo  0.192  0.250  0.625 [8 per cell]
Se  0.000  0.000  0.500 [4 per cell]

---

This record from the Alexandria database describes a relaxed YBSe2Br crystal. The functional is GGA-PBE.

Properties
* distance to the lowest polymorph of the same formula: 0.000 eV per atom
* formation energy without anion corrections: -0.257 eV per atom

Unit cell a=4.697 b=4.697 c=4.554 alpha=90.00 beta=90.00 gamma=90.00
Space group P4/mmm (No. 123)
Unique sites:
Y  0.000  0.000  0.000 [1 per cell]
B  0.500  0.500  0.500 [1 per cell]
Se  0.000  0.500  0.500 [2 per cell]
Br  0.500  0.500  0.000 [1 per cell]

---

This record from the Alexandria database describes a relaxed Zr3Zn7Pd crystal. The functional is GGA-PBE.

Properties
* E_tot: -0.2780 Ry/atom

Unit cell a=2.824 b=19.724 c=13.642 alpha=90.00 beta=90.00 gamma=90.00
Space group Cmcm (No. 63)
Unique sites:
Zr  0.000  0.120  0.050 [8 per cell]
Zr  0.000  0.270  0.750 [4 per cell]
Zn  0.000  0.264  0.073 [8 per cell]
Zn  0.000  0.370  0.157 [8 per cell]
Zn  0.000  0.415  0.750 [4 per cell]
Zn  0.000  0.490  0.090 [8 per cell]
Pd  0.000  0.034  0.750 [4 per cell]

---

This record from the Alexandria database describes a relaxed La2Pr6ErTm crystal. The functional is GGA-PBE.

Properties
* E_tot: -0.3415 Ry/atom

Unit cell a=9.252 b=15.343 c=10.155 alpha=90.00 beta=100.42 gamma=90.00
Space group C2/c (No. 15)
Unique sites:
La  0.242  0.048  0.042 [8 per cell]
Pr  0.066  0.189  0.444 [8 per cell]
Pr  0.104  0.399  0.621 [8 per cell]
Pr  0.201  0.217  0.810 [8 per cell]
Er  0.000  0.013  0.750 [4 per cell]
Tm  0.000  0.405  0.250 [4 per cell]

---

This record from the Alexandria database describes a relaxed NbInNiRh crystal. The functional is GGA-PBE.

Properties
* E_tot: -0.4948 Ry/atom

Unit cell a=6.342 b=6.342 c=6.342 alpha=90.00 beta=90.00 gamma=90.00
Space group F-43m (No. 216)
Unique sites:
Nb  0.000  0.000  0.000 [4 per cell]
In  0.000  0.000  0.500 [4 per cell]
Ni  0.250  0.250  0.250 [4 per cell]
Rh  0.250  0.250  0.750 [4 per cell]

---

This record from the Alexandria database describes a relaxed MgIn3Hg crystal. The functional is GGA-PBE.

Properties
* distance to the lowest polymorph of the same formula: 0.024 eV per atom

Unit cell a=5.827 b=6.148 c=14.987 alpha=90.00 beta=106.63 gamma=90.00
Space group P2/c (No. 13)
Unique sites:
Mg  0.024  0.150  0.105 [4 per cell]
In  0.160  0.349  0.597 [4 per cell]
In  0.297  0.096  0.797 [4 per cell]
In  0.421  0.246  0.007 [4 per cell]
Hg  0.281  0.407  0.294 [4 per cell]

---

This record from the Alexandria database describes a relaxed Cd2CuPb crystal. The functional is GGA-PBE.

Properties
* E_tot: -0.1635 Ry/atom

Unit cell a=3.4147 b=3.4147 c=27.3241 alpha=90.00 beta=90.00 gamma=120.00
Space group R3m (No. 160, hexagonal axes)
Unique sites:
Cd  0.0000  0.0000  0.0000 [3 per cell]
Cd  0.0000  0.0000  0.2480 [3 per cell]
Cu  0.0000  0.0000  0.5129 [3 per cell]
Pb  0.0000  0.0000  0.7691 [3 per cell]

---

This record from the Alexandria database describes a relaxed PrTlI4 crystal. The functional is GGA-PBE.

Properties
* distance to the lowest polymorph of the same formula: 0.000 eV per atom
* formation energy without anion corrections: -1.158 eV per atom

Unit cell a=15.227 b=4.698 c=8.779 alpha=90.00 beta=100.51 gamma=90.00
Space group C2/m (No. 12)
Unique sites:
Pr  0.000  0.000  0.000 [2 per cell]
Tl  0.000  0.500  0.500 [2 per cell]
I  0.119  0.500  0.894 [4 per cell]
I  0.121  0.000  0.326 [4 per cell]

---

Taking the records one at a time from the top gives density values of 8.26; 5.58; 7.32; 6.84; 9.62; 7.35; 8.95; 4.59 g/cm³.